Entry 1:
Fe2IBr: relaxed, PBE.

abc: 5.5074 5.5074 7.5792
angles: 68.70 68.70 90.00
Last column: nearest neighbours and their distance in Å.
Fractional coordinates of all 8 atoms:
I  0.7500  0.2500  0.5000  4 Fe 2.62
Br  0.5000  0.5000  0.0000  4 Fe 2.46
Fe  0.8750  0.8479  0.7500  2 Br 2.46, 2 I 2.62
I  0.0000  0.0000  0.0000  4 Fe 2.62
Fe  0.1521  0.6250  0.2500  2 Br 2.46, 2 I 2.62
Br  0.2500  0.7500  0.5000  4 Fe 2.46
Fe  0.3750  0.4021  0.7500  2 Br 2.46, 2 I 2.62
Fe  0.5979  0.1250  0.2500  2 Br 2.46, 2 I 2.62

- ΔE to the lowest computed polymorph (meV/atom) = 0
- energy relative to the elements, uncorrected (meV/atom) = 473
- volume (Å³/atom) = 24.65
- E (eV per atom) = -4.5639
- space-group type = No. 122

---

Entry 2:
Pm2MgSb3Pt4: relaxed, PBE.

abc: 4.4608 4.4608 11.1074
angles: 90.00 90.00 90.00
Last column: nearest neighbours and their distance in Å.
Fractional coordinates of all 10 atoms:
Pt  0.0000  0.5000  0.3667  3 Sb 2.57-2.68, 2 Mg 2.68
Pt  0.5000  0.5000  0.0000  4 Sb 2.69
Pm  0.0000  0.5000  0.7688  6 Sb 3.33-3.73, 8 Pt 3.40-3.50, 2 Mg 3.73
Pm  0.5000  0.0000  0.2312  6 Sb 3.33-3.73, 8 Pt 3.40-3.50, 2 Mg 3.73
Sb  0.0000  0.0000  0.5000  4 Pt 2.68
Mg  0.5000  0.5000  0.5000  4 Pt 2.68
Pt  0.5000  0.0000  0.6333  3 Sb 2.57-2.68, 2 Mg 2.68
Sb  0.0000  0.5000  0.1353  5 Pt 2.57-2.69
Pt  0.0000  0.0000  0.0000  4 Sb 2.69
Sb  0.5000  0.0000  0.8647  5 Pt 2.57-2.69

- energy relative to the elements, uncorrected (meV/atom) = -879
- volume (Å³/atom) = 22.10
- E (eV per atom) = -5.6413
- space-group type = No. 115

---

Which of these has the highest energy relative to the elements, uncorrected?
Fe2IBr

---

Which value of E does entry 1 give?
-4.5639 eV per atom

---

Look up the energy relative to the elements, uncorrected of the second one.
-879 meV/atom

---

Among the records above, which one has the highest volume?
Fe2IBr